Nd4In5Ga2 (GGA-PBE, optimized geometry); space-group type = P2/m, No. 10
1.0
-1.7576 3.2430 -0.5566
0.9787 -0.8157 -7.8430
-8.7873 -4.7228 0.2302
In Nd Ga
5 4 2
Direct
0.0000 0.8215 0.8429
0.0000 0.4447 0.6922
0.0000 0.5553 0.3078
0.0000 0.5000 0.0000
0.0000 0.1785 0.1571
0.5000 0.2567 0.4367
0.5000 0.7433 0.5633
0.5000 0.8225 0.1295
0.5000 0.1775 0.8705
0.0000 0.0628 0.6281
0.0000 0.9372 0.3719

Sm3CdHg3 (GGA-PBE, optimized geometry); space-group type = P6_3/m, No. 176; ΔE to the lowest computed polymorph = 0.108 eV per atom
1.0
-2.6070 -1.8287 4.1743
7.4186 1.4500 5.2683
-6.2968 6.6485 -1.0199
Cd Sm Hg
2 6 6
Direct
0.2500 0.6667 0.3333
0.7500 0.3333 0.6667
0.2500 0.0980 0.6520
0.7500 0.4460 0.0980
0.2500 0.3480 0.4460
0.7500 0.9020 0.3480
0.2500 0.5540 0.9020
0.7500 0.6520 0.5540
0.7500 0.7567 0.9584
0.7500 0.0415 0.7982
0.2500 0.9584 0.2018
0.7500 0.2018 0.2433
0.2500 0.7982 0.7567
0.2500 0.2433 0.0415

CaPaGe4 (GGA-PBE, optimized geometry); space-group type = F-43m, No. 216
1.0
5.5943 0.0000 0.0000
2.7971 4.8448 0.0000
2.7971 1.6149 4.5677
Ge Pa Ca
4 1 1
Direct
0.1252 0.6249 0.6249
0.6249 0.1252 0.6249
0.6249 0.6249 0.1252
0.6249 0.6249 0.6249
0.2500 0.2500 0.2500
0.0000 0.0000 0.0000

no.,ΔE_f (meV per atom),density of states at the Fermi level (states/eV/f.u.)
1,-477,7.91
2,-280,7.14
3,-133,5.19